(1)
Ac3Be2O8 | PBE | relaxed

The structure in POSCAR format:
```
Ac3Be2O8
1.0
2.627 1.516 7.095
-2.627 1.516 7.095
0.000 -3.033 7.095
Ac Be O
3 2 8
Cartesian
0.000 0.000 0.000
0.000 0.000 4.512
0.000 0.000 16.774
0.000 0.000 8.539
0.000 0.000 12.747
-1.293 -0.747 12.031
0.000 -1.493 9.256
-1.293 0.747 9.256
0.000 0.000 6.953
0.000 0.000 14.333
1.293 -0.747 12.031
0.000 1.493 12.031
1.293 0.747 9.255
```

Output
As for the uncorrected formation energy: -2.560 eV/atom. As for the density: 8.1 g/cm3. The space group is R-3m (166). The calculated total energy is -92.7 eV per cell.

=====

(2)
AcCe2Ga | PBE | relaxed

The structure in POSCAR format:
```
AcCe2Ga
1.0
4.782 0.000 0.000
0.000 4.782 0.000
0.000 0.000 5.021
Ac Ce Ga
1 2 1
Cartesian
0.000 0.000 0.000
0.000 2.391 2.511
2.391 0.000 2.511
2.391 2.391 0.000
```

Output
As for the density: 8.3 g/cm3. The calculation puts the polymorph energy (0 for the lowest one) at 25.7 kJ/mol of formula units. The space group is P4/mmm (123). The calculated total energy is -19.4 eV per cell. The formation energy comes out at -0.41 eV/f.u.

=====

(3)
Ga7Co4Ni | PBE | relaxed

The structure in POSCAR format:
```
Ga7Co4Ni
1.0
6.040 -2.136 0.000
6.040 2.136 0.000
-5.309 0.000 6.617
Ga Co Ni
7 4 1
Cartesian
0.000 0.000 0.000
-1.272 0.000 4.043
2.717 0.000 0.936
1.661 0.000 4.405
5.109 0.000 2.213
4.053 0.000 5.681
8.042 0.000 2.574
-3.379 0.000 5.196
0.516 0.000 2.325
6.255 0.000 4.293
10.149 0.000 1.421
6.040 0.000 0.000
```

Output
As for the density: 7.6 g/cm3. The space group is C2/m (12). The calculated total energy is -56.2 eV per cell. The formation energy comes out at -0.77 eV/f.u.